Entry from the Alexandria database: a relaxed Ag2GePtN crystal (PBE).

```
data_Ag2GePtN
_symmetry_space_group_name_H-M 'P 4/m m m'
_symmetry_Int_Tables_number 123
_symmetry_space_group_name_Hall '-P 4 2'
_cell_length_a 5.059
_cell_length_b 5.059
_cell_length_c 3.504
_cell_angle_alpha 90.00
_cell_angle_beta 90.00
_cell_angle_gamma 90.00
loop_
_atom_site_label
_atom_site_fract_x
_atom_site_fract_y
_atom_site_fract_z
Ag1 0.000 0.500 0.000
Ge1 0.000 0.000 0.000
Pt1 0.500 0.500 0.500
N1 0.000 0.000 0.500
```

Properties
The calculation puts the raw formation energy at 0.9634 eV/atom. The crystal system is tetragonal. The final energy comes out at -3.974 eV/atom. The density of states at the Fermi level is 1.4 states/eV per cell. The calculation puts the density at 9.2 Mg/m³.